Entry 1:
The following is a DFT calculation (GGA+U) of crystalline NpNi2HgO8 at its relaxed geometry.

## Properties
Total energy, eV/atom: -5.963

Cell: 6.9283 6.5292 6.6914 Å, 90.00 96.33 90.00°
Space group C2/m (No. 12)
Unique sites:
1 Np 0.0000 0.0000 0.0000 (multiplicity 2)
2 Ni 0.0142 0.5000 0.2527 (multiplicity 4)
3 Hg 0.0000 0.0000 0.5000 (multiplicity 2)
4 O 0.0000 0.3029 0.0000 (multiplicity 4)
5 O 0.0000 0.3159 0.5000 (multiplicity 4)
6 O 0.1933 0.0000 0.7535 (multiplicity 4)
7 O 0.2164 0.0000 0.1988 (multiplicity 4)



Entry 2:
The following is a DFT calculation (GGA+U) of crystalline NpNiHgO6 at its relaxed geometry.

## Properties
Total energy, eV/atom: -6.489

Cell: 5.3484 5.3484 9.7810 Å, 90.00 90.00 120.00°
Space group P-31c (No. 163)
Unique sites:
1 Np 0.3333 0.6667 0.2500 (multiplicity 2)
2 Ni 0.3333 0.6667 0.7500 (multiplicity 2)
3 Hg 0.0000 0.0000 0.0000 (multiplicity 2)
4 O 0.0048 0.3585 0.1400 (multiplicity 12)



Which of these has the highest total energy?
NpNi2HgO8



Which of these has the highest total energy?
NpNi2HgO8



Which of these has the lowest total energy?
NpNiHgO6